Entry 1:
Compound: KSrTlPb
Source: the Alexandria database
Functional: PBE-GGA
Structure: relaxed

- magnetization (μB/cell) = 0.00
- calculated density (g cm⁻³) = 6.2
- density of states at the Fermi level (states/eV/atom) = 0.335

Cell: 8.302 8.302 8.302 Å, 90.00 90.00 90.00°
Space group F-43m (No. 216)
Asymmetric unit:
K 0.000 0.000 0.000
Sr 0.000 0.000 0.500
Tl 0.250 0.250 0.250
Pb 0.250 0.250 0.750

Entry 2:
Compound: KSr2ZnPb
Source: the Alexandria database
Functional: PBE-GGA
Structure: relaxed

- magnetization (μB/cell) = 0.00
- calculated density (g cm⁻³) = 3.5
- density of states at the Fermi level (states/eV/atom) = 0.603

Cell: 6.594 6.594 5.346 Å, 90.00 90.00 90.00°
Space group P4/mmm (No. 123)
Asymmetric unit:
K 0.000 0.000 0.000
Sr 0.000 0.500 0.000
Zn 0.000 0.000 0.500
Pb 0.500 0.500 0.500

Entry 3:
Compound: K2TaPb
Source: the Alexandria database
Functional: PBE-GGA
Structure: relaxed

- magnetization (μB/cell) = 2.30
- calculated density (g cm⁻³) = 4.9
- density of states at the Fermi level (states/eV/atom) = 0.854

Cell: 10.005 3.221 9.824 Å, 90.00 93.43 90.00°
Space group Cm (No. 8)
Asymmetric unit:
K 0.000 0.000 0.000
K 0.229 0.000 0.606
Ta 0.250 0.500 0.266
Pb 0.487 0.000 0.350

Entry 4:
Compound: K2TaPb
Source: the Alexandria database
Functional: PBE-GGA
Structure: relaxed

- magnetization (μB/cell) = 5.81
- calculated density (g cm⁻³) = 5.1
- density of states at the Fermi level (states/eV/atom) = 0.535

Cell: 4.352 6.137 11.422 Å, 90.00 90.00 90.00°
Space group Imm2 (No. 44)
Asymmetric unit:
K 0.000 0.000 0.000
K 0.000 0.500 0.202
Ta 0.000 0.000 0.416
Pb 0.000 0.500 0.763

Entry 5:
Compound: K2TaPb
Source: the Alexandria database
Functional: PBE-GGA
Structure: relaxed

- magnetization (μB/cell) = 12.04
- calculated density (g cm⁻³) = 5.4
- density of states at the Fermi level (states/eV/atom) = 0.508

Cell: 9.826 9.826 5.896 Å, 90.00 90.00 90.00°
Space group I-42d (No. 122)
Asymmetric unit:
K 0.242 0.750 0.125
Ta 0.000 0.000 0.500
Pb 0.000 0.000 0.000

Entry 6:
Compound: KTaPb2
Source: the Alexandria database
Functional: PBE-GGA
Structure: relaxed

- magnetization (μB/cell) = 0.00
- calculated density (g cm⁻³) = 9.1
- density of states at the Fermi level (states/eV/atom) = 0.702
- polymorph energy (0 for the lowest one) (meV/atom) = 446.7

Cell: 3.190 3.190 11.369 Å, 90.00 90.00 90.00°
Space group P4mm (No. 99)
Asymmetric unit:
K 0.000 0.000 0.000
Ta 0.500 0.500 0.736
Pb 0.000 0.000 0.543
Pb 0.500 0.500 0.282

Entry 7:
Compound: K2TaPb
Source: the Alexandria database
Functional: PBE-GGA
Structure: relaxed

- magnetization (μB/cell) = 2.67
- calculated density (g cm⁻³) = 6.6
- density of states at the Fermi level (states/eV/atom) = 0.825

Cell: 6.113 12.511 3.223 Å, 90.00 107.55 90.00°
Space group C2/m (No. 12)
Asymmetric unit:
K 0.250 0.250 0.000
Ta 0.000 0.000 0.500
Pb 0.000 0.500 0.500

Entry 8:
Compound: KTa2Pb
Source: the Alexandria database
Functional: PBE-GGA
Structure: relaxed

- magnetization (μB/cell) = 0.00
- calculated density (g cm⁻³) = 10.8
- density of states at the Fermi level (states/eV/atom) = 1.230

Cell: 6.240 11.369 2.927 Å, 90.00 115.28 90.00°
Space group C2/m (No. 12)
Asymmetric unit:
K 0.000 0.000 0.000
Ta 0.250 0.250 0.500
Pb 0.000 0.500 0.000

Entry 9:
Compound: KTaPb2
Source: the Alexandria database
Functional: PBE-GGA
Structure: relaxed

- magnetization (μB/cell) = 0.00
- calculated density (g cm⁻³) = 5.6
- density of states at the Fermi level (states/eV/atom) = 0.081
- polymorph energy (0 for the lowest one) (meV/atom) = 469.7

Cell: 6.683 6.683 16.892 Å, 90.00 90.00 90.00°
Space group I-42d (No. 122)
Asymmetric unit:
K 0.000 0.000 0.000
Ta 0.000 0.000 0.500
Pb 0.056 0.250 0.625

Entry 10:
Compound: KTa2Pb
Source: the Alexandria database
Functional: PBE-GGA
Structure: relaxed

- magnetization (μB/cell) = 0.00
- calculated density (g cm⁻³) = 10.3
- density of states at the Fermi level (states/eV/atom) = 1.029

Cell: 3.024 3.024 10.677 Å, 90.00 90.00 90.00°
Space group P4mm (No. 99)
Asymmetric unit:
K 0.000 0.000 0.000
Ta 0.000 0.000 0.503
Ta 0.500 0.500 0.699
Pb 0.500 0.500 0.280

Entry 11:
Compound: KTa2Pb
Source: the Alexandria database
Functional: PBE-GGA
Structure: relaxed

- magnetization (μB/cell) = 0.00
- calculated density (g cm⁻³) = 9.0
- density of states at the Fermi level (states/eV/atom) = 1.063

Cell: 9.366 3.001 7.966 Å, 90.00 94.28 90.00°
Space group Cm (No. 8)
Asymmetric unit:
K 0.000 0.000 0.000
Ta 0.005 0.500 0.465
Ta 0.273 0.500 0.336
Pb 0.248 0.000 0.678

Entry 12:
Compound: KTaPb2
Source: the Alexandria database
Functional: PBE-GGA
Structure: relaxed

- magnetization (μB/cell) = 0.00
- calculated density (g cm⁻³) = 8.1
- density of states at the Fermi level (states/eV/atom) = 0.352
- polymorph energy (0 for the lowest one) (meV/atom) = 153.0

Cell: 3.163 4.817 16.977 Å, 90.00 90.00 90.00°
Space group Imm2 (No. 44)
Asymmetric unit:
K 0.000 0.000 0.000
Ta 0.000 0.500 0.288
Pb 0.000 0.000 0.641
Pb 0.000 0.500 0.819

Entry 13:
Compound: KTaPb2
Source: the Alexandria database
Functional: PBE-GGA
Structure: relaxed

- magnetization (μB/cell) = 0.53
- calculated density (g cm⁻³) = 10.1
- density of states at the Fermi level (states/eV/atom) = 0.744
- polymorph energy (0 for the lowest one) (meV/atom) = 433.2

Cell: 7.306 9.079 3.153 Å, 90.00 90.00 90.00°
Space group Cmmm (No. 65)
Asymmetric unit:
K 0.000 0.000 0.000
Ta 0.000 0.500 0.000
Pb 0.250 0.250 0.500

Entry 14:
Compound: K2TaPb
Source: the Alexandria database
Functional: PBE-GGA
Structure: relaxed

- magnetization (μB/cell) = 1.68
- calculated density (g cm⁻³) = 4.8
- density of states at the Fermi level (states/eV/atom) = 0.683

Cell: 3.281 4.797 10.264 Å, 90.00 92.25 90.00°
Space group Pm (No. 6)
Asymmetric unit:
K 0.000 0.000 0.000
K 0.422 0.500 0.384
Ta 0.960 0.500 0.707
Pb 0.457 0.000 0.681

Entry 15:
Compound: KTaPb4
Source: the Alexandria database
Functional: PBE-GGA
Structure: relaxed

- magnetization (μB/cell) = 12.96
- calculated density (g cm⁻³) = 9.2
- density of states at the Fermi level (states/eV/atom) = 0.931

Cell: 9.121 9.121 9.121 Å, 90.00 90.00 90.00°
Space group F-43m (No. 216)
Asymmetric unit:
K 0.000 0.000 0.000
Ta 0.250 0.250 0.250
Pb 0.124 0.124 0.624

The evaluated ΔH_f (0 K) for the records listed, in turn: -25.4; 60.8; 75.2; 88.5; 111.7; 66.8; 89.8; 108.7; 69.0; 56.7; 71.1; 38.5; 65.5; 66.3; 69.1 kJ/mol of atoms.